First-principles (PBE+U) data for TbNpFe2O6 after structural relaxation, as listed in the Alexandria database.

The structure belongs to space group R3 (No. 146, hexagonal axes); the cell edges are 5.5790, 5.5790 and 14.7299 Å and the angles 90.00°, 90.00° and 120.00°. The inequivalent atoms are Tb at (0.0000, 0.0000, 0.0000), Np at (0.0000, 0.0000, 0.4914), Fe at (0.0000, 0.0000, 0.2844), Fe at (0.0000, 0.0000, 0.7929), O at (0.9998, 0.3113, 0.8928) and O at (0.0195, 0.7147, 0.3964).

The calculation puts the density of states at the Fermi level at 0.7906 states/eV/atom. Its final energy is -82.950 eV/f.u. The calculation puts the size of the total moment at 6.0 μB per formula unit.